(1)
The following is a SCAN calculation of a crystal of SiPbN3 relaxed with PBEsol, from Alexandria via LeMat-Bulk.

a = 3.7372 Å, b = 3.7372 Å, c = 3.7372 Å
α = 90.00°, β = 90.00°, γ = 90.00°
Sites, in units of the cell vectors:
Si 0.0000 0.0000 0.0000
Pb 0.5000 0.5000 0.5000
N 0.0000 0.0000 0.5000
N 0.0000 0.5000 0.0000
N 0.5000 0.0000 0.0000

## Properties
Spin magnetization   0.00 μB per cell
Fermi-level density of states   3.01 states/eV/f.u.
Calculated density   8.8 g/cm³
Final energy   -110.22 eV/cell

(2)
The following is a SCAN calculation of a crystal of Sb2TeCl relaxed with PBEsol, from Alexandria via LeMat-Bulk.

a = 5.8741 Å, b = 5.8741 Å, c = 5.8741 Å
α = 143.40°, β = 118.96°, γ = 73.32°
Sites, in units of the cell vectors:
Sb 0.2504 0.2504 0.0000
Sb 0.7496 0.7496 0.0000
Te 0.5000 0.0000 0.5000
Cl 0.0000 0.5000 0.5000

## Properties
Spin magnetization   0.00 μB per cell
Fermi-level density of states   2.37 states/eV/f.u.
Calculated density   6.5 g/cm³
Final energy   -119.40 eV/cell